VASP calculation (PBE-GGA) on crystalline Pr2Cu2Br at its relaxed geometry.

Cell and atoms, written as POSCAR:
```
Pr2Cu2Br
1.0
3.6623 -2.1064 0.0000
3.6623 2.1064 0.0000
-2.4462 0.0000 8.2630
Pr Cu Br
2 2 1
Direct
0.0740 0.0740 0.2205
0.9260 0.9260 0.7795
0.3329 0.3329 0.9983
0.6671 0.6671 0.0017
0.5000 0.5000 0.5000
```

Calculated values
E ... -22.6 eV/cell
SG ... No. 12
Total magnetic moment ... 0.00 μB per cell
ΔE_f (raw) ... -0.640 eV/atom

VASP calculation (PBE-GGA) on crystalline Ac2ThGe3Pd12 at its relaxed geometry.

Cell and atoms, written as POSCAR:
```
Ac2ThGe3Pd12
1.0
4.2118 2.4317 6.4299
-4.2118 2.4317 6.4299
0.0000 -4.8634 6.4299
Ac Th Ge Pd
2 1 3 12
Direct
0.1004 0.1004 0.1004
0.8996 0.8996 0.8996
0.5000 0.5000 0.5000
0.0000 0.5000 0.5000
0.5000 0.0000 0.5000
0.5000 0.5000 0.0000
0.0999 0.6427 0.6427
0.1484 0.1484 0.6035
0.1484 0.6035 0.1484
0.3573 0.3573 0.9001
0.3573 0.9001 0.3573
0.3965 0.8516 0.8516
0.6035 0.1484 0.1484
0.6427 0.0999 0.6427
0.6427 0.6427 0.0999
0.8516 0.3965 0.8516
0.8516 0.8516 0.3965
0.9001 0.3573 0.3573
```

Calculated values
E ... -98.4 eV/cell
SG ... No. 166
Total magnetic moment ... 0.00 μB per cell
Formation enthalpy at 0 K ... -0.3692 eV per atom

VASP calculation (PBE-GGA) on crystalline Ni4SeBr at its relaxed geometry.

Cell and atoms, written as POSCAR:
```
Ni4SeBr
1.0
0.0000 3.4993 3.4993
3.4993 0.0000 3.4993
3.4993 3.4993 0.0000
Ni Se Br
4 1 1
Direct
0.1238 0.1238 0.1238
0.1238 0.1238 0.6285
0.1238 0.6285 0.1238
0.6285 0.1238 0.1238
0.7500 0.7500 0.7500
0.5000 0.5000 0.5000
```

Calculated values
E ... -24.7 eV/cell
SG ... No. 216
Total magnetic moment ... 1.69 μB per cell
ΔE_f (raw) ... 0.589 eV/atom

VASP calculation (PBE-GGA) on crystalline AcGa2IO8 at its relaxed geometry.

Cell and atoms, written as POSCAR:
```
AcGa2IO8
1.0
3.7862 -3.0716 0.0000
3.7862 3.0716 0.0000
-1.6693 0.0000 6.9384
Ac Ga I O
1 2 1 8
Direct
0.0000 0.0000 0.0000
0.4426 0.4426 0.7790
0.5574 0.5574 0.2210
0.0000 0.0000 0.5000
0.1944 0.7666 0.2961
0.2334 0.8056 0.7039
0.2517 0.2517 0.5401
0.3348 0.3348 0.9972
0.6652 0.6652 0.0028
0.7483 0.7483 0.4599
0.7666 0.1944 0.2961
0.8056 0.2334 0.7039
```

Calculated values
E ... -68.9 eV/cell
SG ... No. 12
Total magnetic moment ... 0.00 μB per cell
ΔE_f (raw) ... -1.464 eV/atom

VASP calculation (PBE-GGA) on crystalline Sc3GaN at its relaxed geometry.

Cell and atoms, written as POSCAR:
```
Sc3GaN
1.0
3.2615 0.0000 0.0000
0.0000 4.3403 0.0000
-0.0583 0.0000 6.1104
Sc Ga N
3 1 1
Direct
0.0000 0.0000 0.0000
0.4947 0.5000 0.7517
0.5053 0.5000 0.2483
0.0000 0.0000 0.5000
0.0000 0.5000 0.0000
```

Calculated values
E ... -35.4 eV/cell
SG ... No. 10
Total magnetic moment ... 0.00 μB per cell
ΔE_f (raw) ... -1.015 eV/atom

VASP calculation (PBE-GGA) on crystalline La5PuP6 at its relaxed geometry.

Cell and atoms, written as POSCAR:
```
La5PuP6
1.0
3.6629 -6.3428 0.0000
3.6629 6.3428 0.0000
-2.4454 0.0000 6.9051
La Pu P
5 1 6
Direct
0.0000 0.0000 0.0000
0.1661 0.8339 0.5000
0.3320 0.6680 0.0000
0.6680 0.3320 0.0000
0.8339 0.1661 0.5000
0.5000 0.5000 0.5000
0.0971 0.4189 0.2566
0.2594 0.2594 0.7435
0.4189 0.0971 0.2566
0.5811 0.9029 0.7434
0.7406 0.7406 0.2565
0.9029 0.5811 0.7434
```

Calculated values
E ... -89.2 eV/cell
SG ... No. 12
Total magnetic moment ... 4.79 μB per cell
Formation enthalpy at 0 K ... -1.4775 eV per atom

VASP calculation (PBE-GGA) on crystalline PmPrHo at its relaxed geometry.

Cell and atoms, written as POSCAR:
```
PmPrHo
1.0
5.7495 0.0000 0.0000
-2.8747 4.9792 0.0000
0.0000 0.0000 3.5333
Pm Pr Ho
1 1 1
Direct
0.0000 0.0000 0.0000
0.6667 0.3333 0.5000
0.3333 0.6667 0.0000
```

Calculated values
E ... -13.9 eV/cell
SG ... No. 187
Total magnetic moment ... 0.00 μB per cell
Energy relative to the lowest polymorph listed for this composition ... 0.045 eV/atom
Formation enthalpy at 0 K ... 0.0642 eV per atom

VASP calculation (PBE-GGA) on crystalline Sm5ThIn3 at its relaxed geometry.

Cell and atoms, written as POSCAR:
```
Sm5ThIn3
1.0
9.5710 0.0000 0.0000
-4.7855 8.2887 0.0000
0.0000 0.0000 6.7947
Sm Th In
10 2 6
Direct
0.0000 0.3285 0.2500
0.0000 0.6715 0.7500
0.3285 0.0000 0.2500
0.3285 0.3285 0.7500
0.3333 0.6667 0.0000
0.3333 0.6667 0.5000
0.6667 0.3333 0.0000
0.6667 0.3333 0.5000
0.6715 0.0000 0.7500
0.6715 0.6715 0.2500
0.0000 0.0000 0.0000
0.0000 0.0000 0.5000
0.0000 0.3384 0.7500
0.0000 0.6616 0.2500
0.3384 0.0000 0.7500
0.3384 0.3384 0.2500
0.6616 0.0000 0.2500
0.6616 0.6616 0.7500
```

Calculated values
E ... -84.2 eV/cell
SG ... No. 193
Total magnetic moment ... 2.16 μB per cell
Formation enthalpy at 0 K ... -0.3161 eV per atom

VASP calculation (PBE-GGA) on crystalline Fe2CuTe at its relaxed geometry.

Cell and atoms, written as POSCAR:
```
Fe2CuTe
1.0
1.5316 0.8843 7.9918
-1.5316 0.8843 7.9918
0.0000 -1.7685 7.9918
Fe Cu Te
2 1 1
Direct
0.0000 0.0000 0.0000
0.2634 0.2634 0.2634
0.5204 0.5204 0.5204
0.7515 0.7515 0.7515
```

Calculated values
E ... -22.3 eV/cell
SG ... No. 160
Total magnetic moment ... 5.15 μB per cell
ΔE_f (raw) ... 0.475 eV/atom

VASP calculation (PBE-GGA) on crystalline Ba2PPb at its relaxed geometry.

Cell and atoms, written as POSCAR:
```
Ba2PPb
1.0
0.0000 4.1355 4.1355
4.1355 0.0000 4.1355
4.1355 4.1355 0.0000
Ba P Pb
2 1 1
Direct
0.2500 0.2500 0.2500
0.7500 0.7500 0.7500
0.0000 0.0000 0.0000
0.5000 0.5000 0.5000
```

Calculated values
E ... -14.6 eV/cell
SG ... No. 225
Total magnetic moment ... 0.00 μB per cell
Energy relative to the lowest polymorph listed for this composition ... 0.202 eV/atom
Formation enthalpy at 0 K ... -0.4201 eV per atom

VASP calculation (PBE-GGA) on crystalline Y2MnRe at its relaxed geometry.

Cell and atoms, written as POSCAR:
```
Y2MnRe
1.0
3.0983 0.0000 0.0000
0.0000 3.0983 0.0000
0.0000 0.0000 8.7278
Y Mn Re
2 1 1
Direct
0.0000 0.0000 0.0000
0.5000 0.5000 0.3808
0.0000 0.0000 0.6141
0.5000 0.5000 0.7551
```

Calculated values
E ... -34.0 eV/cell
SG ... No. 99
Total magnetic moment ... 0.00 μB per cell
Energy relative to the lowest polymorph listed for this composition ... 0.065 eV/atom
Formation enthalpy at 0 K ... 0.1458 eV per atom

VASP calculation (PBE-GGA) on crystalline Er2Tm2Bi5 at its relaxed geometry.

Cell and atoms, written as POSCAR:
```
Er2Tm2Bi5
1.0
7.9101 -4.0652 0.0000
7.9101 4.0652 0.0000
0.0000 0.0000 8.4381
Er Tm Bi
4 4 10
Direct
0.1924 0.1924 0.0000
0.3076 0.3076 0.5000
0.6924 0.6924 0.5000
0.8076 0.8076 0.0000
0.1528 0.8472 0.6577
0.3472 0.6528 0.1577
0.6528 0.3472 0.8423
0.8472 0.1528 0.3423
0.0000 0.0000 0.0000
0.0122 0.7048 0.3472
0.2048 0.5122 0.8472
0.2952 0.9878 0.3472
0.4878 0.7952 0.8472
0.5000 0.5000 0.5000
0.5122 0.2048 0.1528
0.7048 0.0122 0.6528
0.7952 0.4878 0.1528
0.9878 0.2952 0.6528
```

Calculated values
E ... -85.2 eV/cell
SG ... No. 64
Total magnetic moment ... 0.00 μB per cell
Formation enthalpy at 0 K ... -0.5715 eV per atom

Volume readings, ordered: 25.50; 21.95; 14.28; 13.45; 17.30; 26.74; 33.72; 29.95; 16.23; 35.36; 20.95; 30.15 Å³/atom